Entry 1:
4
Lattice="-8.819 1.949 2.998 -8.150 -0.251 4.905 -7.324 2.555 5.512" Properties=species:S:1:pos:R:3 comment="InHgIr2 GGA-PBE relaxed" sg="R3m (160)" final_energy_ev_per_cell=-19.2 pbc="T T T"
Hg -12.281 2.150 6.782
In -18.046 3.160 9.966
Ir -24.172 4.232 13.348
Ir -6.234 1.091 3.442

***

Entry 2:
4
Lattice="3.234 0.000 0.000 0.000 5.307 0.000 0.000 0.000 4.797" Properties=species:S:1:pos:R:3 comment="In2HgIr GGA-PBE relaxed" sg="Pmmm (47)" final_energy_ev_per_cell=-13.2 pbc="T T T"
Hg 0.000 2.654 2.399
In 0.000 0.000 0.000
In 1.617 2.654 0.000
Ir 1.617 0.000 2.399

***

Entry 3:
5
Lattice="3.667 0.000 3.453 -1.834 3.176 3.453 -1.834 -3.176 3.453" Properties=species:S:1:pos:R:3 comment="In3HgIr GGA-PBE relaxed" sg="R3m (160)" final_energy_ev_per_cell=-16.0 pbc="T T T"
Ir 0.000 0.000 0.347
Hg 0.000 0.000 3.026
In 0.906 -1.569 5.350
In -1.812 0.000 5.350
In 0.906 1.569 5.350

***

Entry 4:
6
Lattice="4.635 0.000 0.001 0.000 4.636 0.000 -0.005 -0.009 6.916" Properties=species:S:1:pos:R:3 comment="In4HgIr GGA-PBE relaxed" sg="C2/m (12)" final_energy_ev_per_cell=-20.7 pbc="T T T"
In 2.321 4.618 1.889
In 2.321 4.619 5.001
In 0.003 2.301 5.000
In 0.003 2.301 1.890
Hg 2.318 2.296 6.903
Ir 0.003 4.619 3.445

***

Entry 5:
4
Lattice="-1.632 -3.628 2.660 2.742 -2.355 -3.136 2.416 0.298 1.889" Properties=species:S:1:pos:R:3 comment="InHgIr2 GGA-PBE relaxed" sg="Cmmm (65)" final_energy_ev_per_cell=-19.5 pbc="T T T"
Hg 0.392 -1.665 2.274
In 2.579 -1.029 -0.624
Ir 0.000 0.000 0.000
Ir 0.555 -2.992 -0.238

***

Entry 6:
5
Lattice="3.123 0.000 0.000 0.000 3.291 -6.407 0.000 3.291 6.407" Properties=species:S:1:pos:R:3 comment="In3HgIr GGA-PBE relaxed" sg="Amm2 (38)" final_energy_ev_per_cell=-15.9 pbc="T T T"
Ir 1.561 3.291 5.981
Hg 0.000 3.291 -1.671
In 1.561 1.697 1.524
In 1.561 4.886 1.524
In 0.000 3.291 3.816

***

Entry 7:
4
Lattice="-1.025 0.348 -4.972 -1.615 -2.522 -4.114 -6.736 1.073 -1.042" Properties=species:S:1:pos:R:3 comment="InHg2Ir GGA-PBE relaxed" sg="Cm (8)" final_energy_ev_per_cell=-11.4 pbc="T T T"
Hg -2.464 -1.997 -8.373
Hg -6.931 -0.765 -7.323
In -4.009 -0.827 -5.523
Ir -3.301 -0.236 -3.057

***

Entry 8:
20
Lattice="20.016 0.000 -1.101 0.000 6.974 0.000 -7.014 0.000 3.747" Properties=species:S:1:pos:R:3 comment="In3HgIr GGA-PBE relaxed" sg="P2_1/c (14)" final_energy_ev_per_cell=-70.9 pbc="T T T"
Ir 6.479 5.671 1.942
Ir 6.523 1.304 0.704
Ir 13.024 2.183 2.027
Ir -0.022 4.791 0.619
Hg -2.832 1.260 2.453
Hg 15.834 5.715 0.193
Hg 2.320 4.747 2.617
Hg 10.682 2.228 0.029
In -0.682 5.926 2.934
In 13.684 1.048 -0.288
In 0.169 2.439 2.135
In 12.833 4.535 0.511
In 4.961 3.544 1.119
In 8.042 3.430 1.527
In 1.541 0.057 0.204
In 11.462 6.917 2.442
In 4.125 0.089 1.674
In 8.878 6.885 0.972
In -4.637 3.576 3.396
In 17.639 3.398 -0.750

***

Entry 9:
4
Lattice="-0.935 -1.607 3.744 -2.003 -3.164 -1.858 3.813 -2.374 -0.067" Properties=species:S:1:pos:R:3 comment="InHg2Ir GGA-PBE relaxed" sg="P4/mmm (123)" final_energy_ev_per_cell=-10.7 pbc="T T T"
Hg 0.000 0.000 0.000
Hg -1.469 -2.386 0.943
In 1.439 -1.991 1.839
Ir 0.905 -2.769 -0.962

***

Entry 10:
5
Lattice="-1.157 4.408 1.770 -3.139 0.658 -3.690 -3.566 -2.009 2.675" Properties=species:S:1:pos:R:3 comment="InHgIr3 GGA-PBE relaxed" sg="Pm-3m (221)" final_energy_ev_per_cell=-19.9 pbc="T T T"
Ir -1.570 0.329 -1.845
Ir -1.783 -1.005 1.337
Ir -0.578 2.204 0.885
Hg -3.931 1.529 0.377
In 0.000 0.000 0.000

***

Entry 11:
8
Lattice="-1.976 4.585 -4.170 2.096 -3.624 -4.978 -5.474 -2.229 -4.931" Properties=species:S:1:pos:R:3 comment="InHg2Ir GGA-PBE relaxed" sg="I-42d (122)" final_energy_ev_per_cell=-17.7 pbc="T T T"
Ir 0.000 0.000 0.000
Ir -3.695 1.418 -6.837
Hg -2.433 2.068 -4.655
Hg -0.214 -2.463 -4.671
Hg -4.158 -1.143 -6.897
Hg -3.903 -1.000 -11.934
In 0.060 0.480 -4.574
In -1.659 -2.687 -7.241

***

Entry 12:
4
Lattice="-4.212 -4.411 0.324 1.022 -6.009 -0.394 0.729 5.458 2.643" Properties=species:S:1:pos:R:3 comment="InHgIr2 GGA-PBE relaxed" sg="Imm2 (44)" final_energy_ev_per_cell=-19.5 pbc="T T T"
Hg -1.660 -5.422 -0.036
In 0.181 -2.544 1.110
Ir -3.129 -10.221 -0.068
Ir -2.639 -2.407 1.464